VASP calculation (PBE-GGA) on crystalline Cu6TePd12 at its relaxed geometry.

Summary:
Total magnetic moment   0.00 μB per atom
Relative energy among the computed polymorphs   0.163 eV/atom
Density of states at the Fermi level   17.3 states/eV/f.u.

```
data_Cu6TePd12
_chemical_formula_sum 'Cu18 Te3 Pd36'
_cell_length_a 10.7804
_cell_length_b 10.7804
_cell_length_c 8.8066
_cell_angle_alpha 90.00
_cell_angle_beta 90.00
_cell_angle_gamma 120.00
_space_group_name_H-M_alt 'R -3 m'
_space_group_IT_number 166
_space_group_name_Hall '-R 3 2"'
loop_
_atom_site_label
_atom_site_fract_x
_atom_site_fract_y
_atom_site_fract_z
Cu1 0.0843 0.1686 0.2442
Te1 0.0000 0.0000 0.5000
Pd1 0.0000 0.2638 0.5000
Pd2 0.0771 0.5385 0.6157
```